Entry 1:
The following is a GGA-PBE calculation of a geometry-optimized BeSe2Cl structure, from Alexandria via LeMat-Bulk.

Summary:
volume: 187 Å³/cell
polymorph energy (0 for the lowest one): 44.15 kJ per mole of atoms
formation energy (no corrections): 25 meV/atom

Geometry as POSCAR:
```
BeSe2Cl
1.0
-4.081 1.514 3.171
1.835 -3.227 3.902
2.468 3.982 5.849
Be Se Cl
2 4 2
direct
0.250 0.750 0.500 Be
0.500 0.500 0.000 Be
0.375 0.502 0.750 Se
0.875 0.748 0.750 Se
0.498 0.125 0.250 Se
0.252 0.625 0.250 Se
0.000 0.000 0.000 Cl
0.750 0.250 0.500 Cl
```

=====

Entry 2:
The following is a GGA-PBE calculation of a geometry-optimized BeSe2Cl structure, from Alexandria via LeMat-Bulk.

Summary:
volume: 82 Å³/cell
polymorph energy (0 for the lowest one): 30.04 kJ per mole of atoms
formation energy (no corrections): -121 meV/atom

Geometry as POSCAR:
```
BeSe2Cl
1.0
1.113 -7.211 2.575
0.010 -7.697 -0.787
3.435 -6.932 -0.125
Se Cl Be
2 1 1
direct
0.111 0.111 0.111 Se
0.889 0.889 0.889 Se
0.000 0.000 0.000 Cl
0.500 0.500 0.500 Be
```